[1]
The following is a DFT calculation (GGA-PBE) of a geometry-optimized Er4Tm2Th structure.

Cell: 19.846 19.846 19.846 Å, 10.28 10.28 10.28°
Fractional coordinates of all 7 atoms:
1 Er 0.000 0.000 0.000
2 Er 0.094 0.094 0.094
3 Er 0.475 0.475 0.475
4 Er 0.572 0.572 0.572
5 Tm 0.286 0.286 0.286
6 Tm 0.380 0.380 0.380
7 Th 0.190 0.190 0.190

Properties
Offset from the most stable computed form: 0 meV per atom
Calculated formation energy: 0.14 eV/f.u.

[2]
The following is a DFT calculation (GGA-PBE) of a geometry-optimized ErTm12Th3 structure.

Cell: 4.969 4.969 19.796 Å, 90.00 90.00 90.00°
Fractional coordinates of all 16 atoms:
1 Er 0.000 0.000 0.000
2 Tm 0.000 0.500 0.125
3 Tm 0.000 0.500 0.375
4 Tm 0.000 0.500 0.625
5 Tm 0.000 0.500 0.875
6 Tm 0.500 0.000 0.125
7 Tm 0.500 0.000 0.375
8 Tm 0.500 0.000 0.625
9 Tm 0.500 0.000 0.875
10 Tm 0.500 0.500 0.000
11 Tm 0.500 0.500 0.249
12 Tm 0.500 0.500 0.500
13 Tm 0.500 0.500 0.751
14 Th 0.000 0.000 0.251
15 Th 0.000 0.000 0.500
16 Th 0.000 0.000 0.749

Properties
Calculated formation energy: 0.55 eV/f.u.

[3]
The following is a DFT calculation (GGA-PBE) of a geometry-optimized Er3Tm2Th structure.

Cell: 8.017 8.017 6.301 Å, 90.00 90.00 108.64°
Fractional coordinates of all 12 atoms:
1 Er 0.087 0.913 0.500
2 Er 0.250 0.383 0.235
3 Er 0.383 0.250 0.735
4 Er 0.617 0.750 0.235
5 Er 0.750 0.617 0.735
6 Er 0.913 0.087 0.000
7 Tm 0.129 0.510 0.706
8 Tm 0.490 0.871 0.706
9 Tm 0.510 0.129 0.206
10 Tm 0.871 0.490 0.206
11 Th 0.171 0.829 0.021
12 Th 0.829 0.171 0.521

Properties
Offset from the most stable computed form: 222 meV per atom
Calculated formation energy: 1.54 eV/f.u.

[4]
The following is a DFT calculation (GGA-PBE) of a geometry-optimized Er3Tm2Th structure.

Cell: 6.088 6.088 14.076 Å, 106.61 106.61 48.34°
Fractional coordinates of all 12 atoms:
1 Er 0.166 0.166 0.042
2 Er 0.167 0.167 0.791
3 Er 0.169 0.169 0.543
4 Er 0.831 0.831 0.457
5 Er 0.833 0.833 0.209
6 Er 0.834 0.834 0.958
7 Tm 0.498 0.498 0.873
8 Tm 0.499 0.499 0.627
9 Tm 0.501 0.501 0.373
10 Tm 0.502 0.502 0.127
11 Th 0.166 0.166 0.291
12 Th 0.834 0.834 0.709

Properties
Offset from the most stable computed form: 0 meV per atom
Calculated formation energy: 0.21 eV/f.u.

[5]
The following is a DFT calculation (GGA-PBE) of a geometry-optimized Er12Tm2Th5 structure.

Cell: 9.936 9.936 10.108 Å, 112.01 112.01 41.42°
Fractional coordinates of all 19 atoms:
1 Er 0.005 0.005 0.322
2 Er 0.086 0.581 0.486
3 Er 0.097 0.589 0.138
4 Er 0.411 0.903 0.862
5 Er 0.419 0.914 0.514
6 Er 0.474 0.474 0.765
7 Er 0.526 0.526 0.235
8 Er 0.581 0.086 0.486
9 Er 0.589 0.097 0.138
10 Er 0.903 0.411 0.862
11 Er 0.914 0.419 0.514
12 Er 0.995 0.995 0.678
13 Tm 0.215 0.785 0.000
14 Tm 0.785 0.215 0.000
15 Th 0.178 0.178 0.209
16 Th 0.314 0.314 0.818
17 Th 0.500 0.500 0.500
18 Th 0.686 0.686 0.182
19 Th 0.822 0.822 0.791

Properties
Calculated formation energy: 4.12 eV/f.u.

[6]
The following is a DFT calculation (GGA-PBE) of a geometry-optimized ErTm2Th5 structure.

Cell: 7.103 14.240 5.013 Å, 90.00 90.00 90.00°
Fractional coordinates of all 16 atoms:
1 Er 0.000 0.000 0.000
2 Er 0.500 0.500 0.000
3 Tm 0.250 0.125 0.500
4 Tm 0.250 0.625 0.500
5 Tm 0.750 0.375 0.500
6 Tm 0.750 0.875 0.500
7 Th 0.000 0.500 0.000
8 Th 0.001 0.750 0.000
9 Th 0.246 0.373 0.500
10 Th 0.254 0.873 0.500
11 Th 0.499 0.250 0.000
12 Th 0.500 0.000 0.000
13 Th 0.501 0.750 0.000
14 Th 0.746 0.127 0.500
15 Th 0.754 0.627 0.500
16 Th 0.999 0.250 0.000

Properties
Calculated formation energy: 0.37 eV/f.u.

[7]
The following is a DFT calculation (GGA-PBE) of a geometry-optimized Er6Tm12Th structure.

Cell: 8.593 8.593 8.593 Å, 99.89 99.89 99.89°
Fractional coordinates of all 19 atoms:
1 Er 0.164 0.608 0.608
2 Er 0.392 0.392 0.836
3 Er 0.392 0.836 0.392
4 Er 0.608 0.164 0.608
5 Er 0.608 0.608 0.164
6 Er 0.836 0.392 0.392
7 Tm 0.000 0.257 0.743
8 Tm 0.000 0.743 0.257
9 Tm 0.154 0.154 0.423
10 Tm 0.154 0.423 0.154
11 Tm 0.257 0.000 0.743
12 Tm 0.257 0.743 0.000
13 Tm 0.423 0.154 0.154
14 Tm 0.577 0.846 0.846
15 Tm 0.743 0.000 0.257
16 Tm 0.743 0.257 0.000
17 Tm 0.846 0.577 0.846
18 Tm 0.846 0.846 0.577
19 Th 0.500 0.500 0.500

Properties
Offset from the most stable computed form: 70 meV per atom
Calculated formation energy: 4.25 eV/f.u.

[8]
The following is a DFT calculation (GGA-PBE) of a geometry-optimized Er2Tm8Th structure.

Cell: 9.274 9.274 7.836 Å, 104.70 104.70 31.01°
Fractional coordinates of all 11 atoms:
1 Er 0.228 0.228 0.136
2 Er 0.772 0.772 0.864
3 Tm 0.045 0.045 0.231
4 Tm 0.136 0.136 0.680
5 Tm 0.319 0.319 0.592
6 Tm 0.409 0.409 0.046
7 Tm 0.591 0.591 0.954
8 Tm 0.681 0.681 0.408
9 Tm 0.864 0.864 0.320
10 Tm 0.955 0.955 0.769
11 Th 0.500 0.500 0.500

Properties
Offset from the most stable computed form: 0 meV per atom
Calculated formation energy: 0.34 eV/f.u.

[9]
The following is a DFT calculation (GGA-PBE) of a geometry-optimized Er4Tm2Th structure.

Cell: 12.216 12.216 12.216 Å, 159.47 159.47 29.20°
Fractional coordinates of all 7 atoms:
1 Er 0.140 0.140 0.000
2 Er 0.250 0.750 0.500
3 Er 0.750 0.250 0.500
4 Er 0.860 0.860 0.000
5 Tm 0.419 0.419 0.000
6 Tm 0.581 0.581 0.000
7 Th 0.000 0.000 0.000

Properties
Offset from the most stable computed form: 294 meV per atom
Calculated formation energy: 2.19 eV/f.u.

[10]
The following is a DFT calculation (GGA-PBE) of a geometry-optimized Er5Tm6Th structure.

Cell: 9.283 9.283 9.283 Å, 149.02 115.46 73.30°
Fractional coordinates of all 12 atoms:
1 Er 0.000 0.000 0.000
2 Er 0.167 0.667 0.500
3 Er 0.334 0.334 0.000
4 Er 0.666 0.666 0.000
5 Er 0.833 0.333 0.500
6 Tm 0.085 0.835 0.251
7 Tm 0.252 0.500 0.752
8 Tm 0.416 0.165 0.251
9 Tm 0.584 0.835 0.749
10 Tm 0.748 0.500 0.248
11 Tm 0.915 0.165 0.749
12 Th 0.500 0.000 0.500

Properties
Calculated formation energy: 0.36 eV/f.u.

[11]
The following is a DFT calculation (GGA-PBE) of a geometry-optimized Er3Tm4Th structure.

Cell: 11.192 7.153 6.176 Å, 90.00 90.00 90.00°
Fractional coordinates of all 16 atoms:
1 Er 0.000 0.123 0.000
2 Er 0.249 0.124 0.333
3 Er 0.251 0.876 0.833
4 Er 0.500 0.877 0.500
5 Er 0.749 0.876 0.833
6 Er 0.751 0.124 0.333
7 Tm 0.000 0.376 0.501
8 Tm 0.000 0.627 0.002
9 Tm 0.250 0.374 0.841
10 Tm 0.250 0.626 0.341
11 Tm 0.500 0.373 0.502
12 Tm 0.500 0.624 0.001
13 Tm 0.750 0.374 0.841
14 Tm 0.750 0.626 0.341
15 Th 0.000 0.875 0.503
16 Th 0.500 0.125 0.003

Properties
Offset from the most stable computed form: 0 meV per atom
Calculated formation energy: 0.10 eV/f.u.

[12]
The following is a DFT calculation (GGA-PBE) of a geometry-optimized Er5Tm4Th2 structure.

Cell: 10.867 10.867 10.867 Å, 161.89 116.76 66.37°
Fractional coordinates of all 11 atoms:
1 Er 0.000 0.000 0.000
2 Er 0.110 0.323 0.788
3 Er 0.465 0.677 0.788
4 Er 0.535 0.323 0.212
5 Er 0.890 0.677 0.212
6 Tm 0.276 0.500 0.776
7 Tm 0.410 0.910 0.500
8 Tm 0.590 0.090 0.500
9 Tm 0.724 0.500 0.224
10 Th 0.206 0.706 0.500
11 Th 0.794 0.294 0.500

Properties
Offset from the most stable computed form: 199 meV per atom
Calculated formation energy: 2.77 eV/f.u.

[13]
The following is a DFT calculation (GGA-PBE) of a geometry-optimized Er3Tm2Th3 structure.

Cell: 8.363 8.363 5.857 Å, 110.50 110.50 41.45°
Fractional coordinates of all 8 atoms:
1 Er 0.000 0.000 0.000
2 Er 0.129 0.129 0.629
3 Er 0.871 0.871 0.371
4 Tm 0.254 0.254 0.253
5 Tm 0.746 0.746 0.747
6 Th 0.384 0.384 0.884
7 Th 0.500 0.500 0.500
8 Th 0.616 0.616 0.116

Properties
Offset from the most stable computed form: 102 meV per atom
Calculated formation energy: 1.10 eV/f.u.

[14]
The following is a DFT calculation (GGA-PBE) of a geometry-optimized Er3Tm12Th structure.

Cell: 4.952 4.952 19.758 Å, 90.00 90.00 90.00°
Fractional coordinates of all 16 atoms:
1 Er 0.000 0.000 0.000
2 Er 0.000 0.000 0.250
3 Er 0.000 0.000 0.750
4 Tm 0.000 0.500 0.125
5 Tm 0.000 0.500 0.375
6 Tm 0.000 0.500 0.625
7 Tm 0.000 0.500 0.875
8 Tm 0.500 0.000 0.125
9 Tm 0.500 0.000 0.375
10 Tm 0.500 0.000 0.625
11 Tm 0.500 0.000 0.875
12 Tm 0.500 0.500 0.000
13 Tm 0.500 0.500 0.248
14 Tm 0.500 0.500 0.500
15 Tm 0.500 0.500 0.752
16 Th 0.000 0.000 0.500

Properties
Calculated formation energy: 0.46 eV/f.u.

[15]
The following is a DFT calculation (GGA-PBE) of a geometry-optimized ErTm4Th4 structure.

Cell: 7.907 7.907 7.907 Å, 95.74 95.74 143.11°
Fractional coordinates of all 9 atoms:
1 Er 0.000 0.000 0.000
2 Tm 0.000 0.331 0.331
3 Tm 0.000 0.669 0.669
4 Tm 0.331 0.000 0.331
5 Tm 0.669 0.000 0.669
6 Th 0.334 0.334 0.668
7 Th 0.334 0.666 0.000
8 Th 0.666 0.334 0.000
9 Th 0.666 0.666 0.332

Properties
Calculated formation energy: 0.34 eV/f.u.

[16]
The following is a DFT calculation (GGA-PBE) of a geometry-optimized Er4Tm3Th2 structure.

Cell: 10.017 10.017 5.941 Å, 96.67 96.67 70.71°
Fractional coordinates of all 18 atoms:
1 Er 0.053 0.829 0.962
2 Er 0.162 0.382 0.142
3 Er 0.171 0.947 0.538
4 Er 0.382 0.162 0.642
5 Er 0.618 0.838 0.358
6 Er 0.829 0.053 0.462
7 Er 0.838 0.618 0.858
8 Er 0.947 0.171 0.038
9 Tm 0.023 0.309 0.592
10 Tm 0.309 0.023 0.092
11 Tm 0.365 0.635 0.250
12 Tm 0.635 0.365 0.750
13 Tm 0.691 0.977 0.908
14 Tm 0.977 0.691 0.408
15 Th 0.266 0.520 0.711
16 Th 0.480 0.734 0.789
17 Th 0.520 0.266 0.211
18 Th 0.734 0.480 0.289

Properties
Calculated formation energy: 1.14 eV/f.u.

[17]
The following is a DFT calculation (GGA-PBE) of a geometry-optimized ErTm6Th3 structure.

Cell: 6.878 6.878 6.878 Å, 90.21 90.21 90.21°
Fractional coordinates of all 10 atoms:
1 Er 0.000 0.000 0.000
2 Tm 0.081 0.750 0.415
3 Tm 0.250 0.585 0.919
4 Tm 0.415 0.081 0.750
5 Tm 0.585 0.919 0.250
6 Tm 0.750 0.415 0.081
7 Tm 0.919 0.250 0.585
8 Th 0.249 0.249 0.249
9 Th 0.500 0.500 0.500
10 Th 0.751 0.751 0.751

Properties
Offset from the most stable computed form: 294 meV per atom
Calculated formation energy: 3.74 eV/f.u.

[18]
The following is a DFT calculation (GGA-PBE) of a geometry-optimized ErTm5Th4 structure.

Cell: 6.646 11.654 8.521 Å, 90.00 90.00 90.00°
Fractional coordinates of all 20 atoms:
1 Er 0.250 0.250 0.046
2 Er 0.750 0.750 0.954
3 Tm 0.009 0.033 0.316
4 Tm 0.009 0.467 0.316
5 Tm 0.250 0.750 0.708
6 Tm 0.491 0.033 0.316
7 Tm 0.491 0.467 0.316
8 Tm 0.509 0.533 0.684
9 Tm 0.509 0.967 0.684
10 Tm 0.750 0.250 0.292
11 Tm 0.991 0.533 0.684
12 Tm 0.991 0.967 0.684
13 Th 0.002 0.750 0.359
14 Th 0.250 0.604 0.031
15 Th 0.250 0.896 0.031
16 Th 0.498 0.750 0.359
17 Th 0.502 0.250 0.641
18 Th 0.750 0.104 0.969
19 Th 0.750 0.396 0.969
20 Th 0.998 0.250 0.641

Properties
Offset from the most stable computed form: 170 meV per atom
Calculated formation energy: 3.99 eV/f.u.

[19]
The following is a DFT calculation (GGA-PBE) of a geometry-optimized Er2TmTh6 structure.

Cell: 8.758 8.758 9.210 Å, 115.59 115.59 83.70°
Fractional coordinates of all 18 atoms:
1 Er 0.040 0.293 0.417
2 Er 0.293 0.040 0.917
3 Er 0.707 0.960 0.083
4 Er 0.960 0.707 0.583
5 Tm 0.374 0.626 0.750
6 Tm 0.626 0.374 0.250
7 Th 0.063 0.815 0.023
8 Th 0.148 0.396 0.857
9 Th 0.185 0.937 0.477
10 Th 0.271 0.518 0.311
11 Th 0.396 0.148 0.357
12 Th 0.482 0.729 0.189
13 Th 0.518 0.271 0.811
14 Th 0.604 0.852 0.643
15 Th 0.729 0.482 0.689
16 Th 0.815 0.063 0.523
17 Th 0.852 0.604 0.143
18 Th 0.937 0.185 0.977

Properties
Offset from the most stable computed form: 0 meV per atom
Calculated formation energy: 1.13 eV/f.u.

Table of Fermi-level density of states (states/eV per atom), in record order: 1.7485 1.6508 1.6743 1.5136 1.5684 1.5859 1.8577 1.5344 1.3091 1.5326 1.6307 1.3383 1.7163 1.4563 1.5576 1.5985 1.8889 1.3959 1.6757